(1)
The following is a DFT calculation (SCAN) of a crystal of CaCo2Se relaxed with PBEsol.

a b c (Å): 3.8237 3.8237 4.3589
angles (deg): 90.00 90.00 90.00
With the nearest neighbours (Å) after each atom.
Sites, in units of the cell vectors:
Ca 0.0000 0.0000 0.5000  4 Se 2.70, 8 Co 2.90
Co 0.0000 0.5000 0.0000  4 Co 2.70, 4 Se 2.90, 4 Ca 2.90
Co 0.5000 0.0000 0.0000  4 Co 2.70, 4 Se 2.90, 4 Ca 2.90
Se 0.5000 0.5000 0.5000  4 Ca 2.70, 8 Co 2.90

Properties
The value obtained for the raw formation energy is -0.193 eV per atom. As for the raw total energy: -65.1 eV per formula unit. Its crystal system is tetragonal. For the total magnetic moment, the calculation gives 3.939 μB/f.u. The value obtained for the volume is 15.93 A^3/atom.


(2)
The following is a DFT calculation (SCAN) of a crystal of CaCo2Se2 relaxed with PBEsol.

a b c (Å): 3.8142 3.8142 6.3454
angles (deg): 107.49 107.49 90.00
With the nearest neighbours (Å) after each atom.
Sites, in units of the cell vectors:
Ca 0.0000 0.0000 0.0000  8 Se 3.12, 8 Co 3.45
Co 0.2500 0.7500 0.5000  4 Se 2.31
Co 0.7500 0.2500 0.5000  4 Se 2.31
Se 0.3641 0.3641 0.7283  4 Co 2.31
Se 0.6359 0.6359 0.2717  4 Co 2.31

Properties
The value obtained for the raw formation energy is -0.578 eV per atom. As for the raw total energy: -87.3 eV per formula unit. Its crystal system is tetragonal. For the total magnetic moment, the calculation gives 2.443 μB/f.u. The value obtained for the volume is 16.71 A^3/atom.


(3)
The following is a DFT calculation (SCAN) of a crystal of CaCo2Se relaxed with PBEsol.

a b c (Å): 4.4631 4.4631 4.4631
angles (deg): 60.00 60.00 60.00
With the nearest neighbours (Å) after each atom.
Sites, in units of the cell vectors:
Ca 0.5000 0.5000 0.5000  4 Co 2.73, 4 Se 2.73
Co 0.0000 0.0000 0.0000  4 Co 2.73, 4 Se 2.73
Co 0.7500 0.7500 0.7500  4 Co 2.73, 4 Ca 2.73
Se 0.2500 0.2500 0.2500  4 Co 2.73, 4 Ca 2.73

Properties
The value obtained for the raw formation energy is 0.193 eV per atom. As for the raw total energy: -63.6 eV per formula unit. Its crystal system is cubic. For the total magnetic moment, the calculation gives 3.735 μB/f.u. The value obtained for the volume is 15.72 A^3/atom.


(4)
The following is a DFT calculation (SCAN) of a crystal of CaCo2Se relaxed with PBEsol.

a b c (Å): 3.0896 4.6511 5.1826
angles (deg): 116.66 107.34 90.00
With the nearest neighbours (Å) after each atom.
Sites, in units of the cell vectors:
Ca 0.0000 0.5000 0.0000  4 Se 2.79, 8 Co 2.95-2.98, 2 Ca 3.09
Co 0.7873 0.7873 0.5746  2 Se 2.42
Co 0.2127 0.2127 0.4254  2 Se 2.42
Se 0.5000 0.0000 0.0000  4 Co 2.42

Properties
The value obtained for the raw formation energy is 0.121 eV per atom. As for the raw total energy: -63.9 eV per formula unit. Its crystal system is orthorhombic. For the total magnetic moment, the calculation gives 2.359 μB/f.u. The value obtained for the volume is 15.69 A^3/atom.


(5)
The following is a DFT calculation (SCAN) of a crystal of Ca4CoSe relaxed with PBEsol.

a b c (Å): 6.2654 6.2654 6.2654
angles (deg): 60.00 60.00 60.00
With the nearest neighbours (Å) after each atom.
Sites, in units of the cell vectors:
Ca 0.3753 0.3753 0.3753  6 Ca 3.13-3.14
Ca 0.3753 0.3753 0.8741  6 Ca 3.13-3.14
Ca 0.8741 0.3753 0.3753  6 Ca 3.13-3.14
Ca 0.3753 0.8741 0.3753  6 Ca 3.13-3.14
Co 0.7500 0.7500 0.7500  12 Ca 3.67, 4 Se 3.84
Se 0.0000 0.0000 0.0000  12 Ca 3.67, 4 Co 3.84

Properties
The value obtained for the raw formation energy is 0.534 eV per atom. As for the raw total energy: -72.8 eV per formula unit. Its crystal system is cubic. For the total magnetic moment, the calculation gives 1.020 μB/f.u. The value obtained for the volume is 28.99 A^3/atom.


(6)
The following is a DFT calculation (SCAN) of a crystal of CaCoSe3 relaxed with PBEsol.

a b c (Å): 4.7074 4.7074 4.7074
angles (deg): 90.00 90.00 90.00
With the nearest neighbours (Å) after each atom.
Sites, in units of the cell vectors:
Ca 0.5000 0.5000 0.5000  12 Se 3.33
Co 0.0000 0.0000 0.0000  6 Se 2.35
Se 0.0000 0.5000 0.0000  2 Co 2.35
Se 0.0000 0.0000 0.5000  2 Co 2.35
Se 0.5000 0.0000 0.0000  2 Co 2.35

Properties
The value obtained for the raw formation energy is -0.586 eV per atom. As for the raw total energy: -90.1 eV per formula unit. Its crystal system is cubic. For the total magnetic moment, the calculation gives 0.027 μB/f.u. The value obtained for the volume is 20.86 A^3/atom.


(7)
The following is a DFT calculation (SCAN) of a crystal of CaCo2Se relaxed with PBEsol.

a b c (Å): 3.9591 3.9591 5.4517
angles (deg): 68.71 68.71 60.00
With the nearest neighbours (Å) after each atom.
Sites, in units of the cell vectors:
Ca 0.0000 0.0000 0.0000  8 Co 2.87-3.09
Co 0.1930 0.1930 0.4210  3 Se 2.32, 3 Co 2.42
Co 0.8070 0.8070 0.5790  3 Se 2.32, 3 Co 2.42
Se 0.5000 0.5000 0.5000  6 Co 2.32

Properties
The value obtained for the raw formation energy is -0.029 eV per atom. As for the raw total energy: -64.5 eV per formula unit. Its crystal system is trigonal. For the total magnetic moment, the calculation gives 0.003 μB/f.u. The value obtained for the volume is 16.80 A^3/atom.


(8)
The following is a DFT calculation (SCAN) of a crystal of CaCo2Se relaxed with PBEsol.

a b c (Å): 3.2118 3.2118 6.3807
angles (deg): 90.00 90.00 90.02
With the nearest neighbours (Å) after each atom.
Sites, in units of the cell vectors:
Ca 0.5000 0.5000 0.2468  4 Se 3.00-3.01, 6 Co 3.02-3.36, 4 Ca 3.21
Co 0.0000 0.0000 0.9241  1 Se 2.35, 4 Co 2.47
Co 0.5000 0.5000 0.7738  4 Co 2.47, 4 Se 2.66-2.67
Se 0.0000 0.0000 0.5553  1 Co 2.35

Properties
The value obtained for the raw formation energy is -0.066 eV per atom. As for the raw total energy: -64.6 eV per formula unit. Its crystal system is tetragonal. For the total magnetic moment, the calculation gives 3.881 μB/f.u. The value obtained for the volume is 16.46 A^3/atom.